DFT (PBE) results for a relaxed structure of HfMnCu2Ge.

a = 4.767 Å, b = 5.056 Å, c = 4.767 Å
α = 90.00°, β = 90.00°, γ = 90.00°
Site moments in Bohr magnetons follow the coordinates.
Fractional positions:
Cu  0.500  0.000  0.000  0.02
Cu  0.000  0.000  0.500  0.01
Mn  0.500  0.500  0.500  -0.58
Ge  0.000  0.500  0.000  0.06
Hf  0.000  0.000  0.000  0.11

## Properties
- Symmetry: No. 123

=====

DFT (PBE) results for a relaxed structure of PmHfCuGe.

a = 4.862 Å, b = 4.862 Å, c = 4.862 Å
α = 60.00°, β = 60.00°, γ = 60.00°
Fractional positions:
Ge  0.500  0.500  0.500
Hf  0.250  0.250  0.250
Cu  0.000  0.000  0.000
Pm  0.750  0.750  0.750

## Properties
- Symmetry: No. 216

=====

Result set for Fermi-level density of states: 6.27 2.51 states/eV/cell, one per record in the order listed.
Result set for energy of formation from the pure elements: 1.693 -0.265 eV/atom, one per record in the order listed.
Result set for calculated total energy: -4.693 -6.120 eV/atom, one per record in the order listed.